Record 1
The following is a GGA-PBE calculation of crystalline MgAs2Pt at its relaxed geometry, from the Alexandria database. Values from VASP.

Computed properties:
For the raw total energy, the calculation gives -17.83 eV per formula unit. The density of states at the Fermi level is 0.26 states/eV/atom. The formation energy comes out at -0.22 eV per atom.

Structure (Quantum ESPRESSO input):
```
&SYSTEM
  ibrav = 0, nat = 4, ntyp = 3
/
ATOMIC_SPECIES
As 74.92 As.upf
Mg 24.30 Mg.upf
Pt 195.08 Pt.upf
CELL_PARAMETERS angstrom
4.479 -0.016 -0.005
-1.004 4.365 -0.005
0.006 0.007 3.609
ATOMIC_POSITIONS crystal
As 0.000 0.000 0.000
As 0.500 0.500 0.000
Mg 0.500 0.000 0.500
Pt 0.000 0.500 0.500
```

=====

Record 2
The following is a GGA-PBE calculation of crystalline MgAs2Pt at its relaxed geometry, from the Alexandria database. Values from VASP.

Computed properties:
For the raw total energy, the calculation gives -17.21 eV per formula unit. The density of states at the Fermi level is 0.41 states/eV/atom. The formation energy comes out at -0.07 eV per atom.

Structure (Quantum ESPRESSO input):
```
&SYSTEM
  ibrav = 0, nat = 4, ntyp = 3
/
ATOMIC_SPECIES
As 74.92 As.upf
Mg 24.30 Mg.upf
Pt 195.08 Pt.upf
CELL_PARAMETERS angstrom
-4.424 1.141 -0.974
-2.648 -2.882 -2.551
-3.511 -2.337 2.008
ATOMIC_POSITIONS crystal
As 0.000 0.000 0.000
As 0.250 0.250 0.250
Mg 0.500 0.500 0.500
Pt 0.750 0.750 0.750
```